(one)
## KNp2I8 (GGA-PBE)

Data for crystalline KNp2I8 at its relaxed geometry.

The structure in POSCAR format:
```
KNp2I8
1.0
10.714 0.000 0.000
-5.357 9.279 0.000
0.000 0.000 6.167
K Np I
1 2 8
Direct
0.000 0.000 0.000
0.333 0.667 0.247
0.667 0.333 0.753
0.174 0.351 0.261
0.177 0.826 0.261
0.333 0.667 0.757
0.351 0.177 0.739
0.649 0.823 0.261
0.667 0.333 0.243
0.823 0.174 0.739
0.826 0.649 0.739
```

## Properties
space-group type: P-3
volume: 613.2 Å³ per cell
spin magnetization: 0.636 μB per atom


(two)
## KNp2I8 (GGA-PBE)

Data for crystalline KNp2I8 at its relaxed geometry.

The structure in POSCAR format:
```
KNp2I8
1.0
8.326 -4.863 0.000
8.326 4.863 0.000
-1.668 0.000 8.421
K Np I
1 2 8
Direct
0.000 0.000 0.000
0.188 0.188 0.655
0.812 0.812 0.345
0.131 0.671 0.240
0.181 0.181 0.311
0.329 0.869 0.760
0.359 0.359 0.805
0.641 0.641 0.195
0.671 0.131 0.240
0.819 0.819 0.689
0.869 0.329 0.760
```

## Properties
space-group type: C2/m
volume: 681.9 Å³ per cell
spin magnetization: 0.636 μB per atom


Which structure wins on stability? (one) wins.


(one)
## K4IO (GGA-PBE)

Data for crystalline K4IO at its relaxed geometry.

The structure in POSCAR format:
```
K4IO
1.0
13.930 0.000 0.000
0.000 9.081 0.000
-2.124 0.000 8.664
K I O
16 4 4
Direct
0.048 0.106 0.232
0.048 0.394 0.732
0.205 0.138 0.611
0.205 0.362 0.111
0.296 0.590 0.786
0.296 0.910 0.286
0.399 0.231 0.957
0.399 0.269 0.457
0.601 0.731 0.543
0.601 0.769 0.043
0.704 0.090 0.714
0.704 0.410 0.214
0.795 0.638 0.889
0.795 0.862 0.389
0.952 0.606 0.268
0.952 0.894 0.768
0.433 0.571 0.213
0.433 0.929 0.713
0.567 0.071 0.287
0.567 0.429 0.787
0.232 0.159 0.326
0.232 0.341 0.826
0.768 0.659 0.174
0.768 0.841 0.674
```

## Properties
space-group type: P2_1/c
volume: 1096.0 Å³ per cell
spin magnetization: 0.000 μB per atom


(two)
## K4IO (GGA-PBE)

Data for crystalline K4IO at its relaxed geometry.

The structure in POSCAR format:
```
K4IO
1.0
9.638 -3.899 0.000
9.638 3.899 0.000
-1.448 0.000 7.377
K I O
8 2 2
Direct
0.125 0.661 0.544
0.203 0.203 0.139
0.206 0.794 0.000
0.339 0.875 0.456
0.661 0.125 0.544
0.794 0.206 0.000
0.797 0.797 0.861
0.875 0.339 0.456
0.260 0.260 0.713
0.740 0.740 0.287
0.084 0.084 0.218
0.916 0.916 0.782
```

## Properties
space-group type: C2/m
volume: 554.4 Å³ per cell
spin magnetization: 0.000 μB per atom


Which structure wins on stability? (one) wins.


(one)
## KI2O2 (GGA-PBE)

Data for crystalline KI2O2 at its relaxed geometry.

The structure in POSCAR format:
```
KI2O2
1.0
4.303 0.000 0.000
0.000 4.303 0.000
0.000 0.000 7.322
K I O
1 2 2
Direct
0.000 0.000 0.000
0.500 0.500 0.000
0.500 0.500 0.500
0.000 0.500 0.500
0.500 0.000 0.500
```

## Properties
space-group type: P4/mmm
volume: 135.6 Å³ per cell
spin magnetization: 0.000 μB per atom


(two)
## KI2O2 (GGA-PBE)

Data for crystalline KI2O2 at its relaxed geometry.

The structure in POSCAR format:
```
KI2O2
1.0
6.736 0.000 0.000
0.000 6.736 0.000
0.000 0.000 5.227
K I O
1 2 2
Direct
0.000 0.000 0.000
0.000 0.500 0.000
0.500 0.000 0.000
0.000 0.000 0.500
0.500 0.500 0.500
```

## Properties
space-group type: P4/mmm
volume: 237.2 Å³ per cell
spin magnetization: 1.001 μB per atom


(three)
## KI2O2 (GGA-PBE)

Data for crystalline KI2O2 at its relaxed geometry.

The structure in POSCAR format:
```
KI2O2
1.0
4.640 0.000 0.000
0.000 4.640 0.000
0.000 0.000 6.679
K I O
1 2 2
Direct
0.000 0.000 0.000
0.000 0.500 0.500
0.500 0.000 0.500
0.500 0.500 0.000
0.500 0.500 0.500
```

## Properties
space-group type: P4/mmm
volume: 143.8 Å³ per cell
spin magnetization: 0.249 μB per atom


(four)
## KI2O2 (GGA-PBE)

Data for crystalline KI2O2 at its relaxed geometry.

The structure in POSCAR format:
```
KI2O2
1.0
5.028 0.000 0.000
0.000 5.028 0.000
0.000 0.000 7.647
K I O
1 2 2
Direct
0.000 0.000 0.000
0.000 0.000 0.500
0.500 0.500 0.500
0.000 0.500 0.000
0.500 0.000 0.000
```

## Properties
space-group type: P4/mmm
volume: 193.3 Å³ per cell
spin magnetization: 0.634 μB per atom


Which structure wins on stability? (one) wins.